Record 1
DFT (PBE-GGA) results for a geometry-optimized LaP2RhO structure.

a b c (Å): 4.5164 4.5164 4.4723
angles (deg): 90.00 90.00 90.00
With the nearest neighbours (Å) after each atom.
Element x y z (fractional)
P (0.5000, 0.0000, 0.0000)  2 Rh 2.26
P (0.0000, 0.5000, 0.0000)  2 Rh 2.26
O (0.0000, 0.0000, 0.5000)  2 Rh 2.24
La (0.5000, 0.5000, 0.5000)  8 P 3.18, 4 O 3.19
Rh (0.0000, 0.0000, 0.0000)  2 O 2.24, 4 P 2.26

Values from the calculation:
excess energy over the best structure of this formula in the dataset = 0 meV/atom
raw total energy = -31.07 eV for the cell shown
symmetry = P4/mmm
D(E_F) = 3.78 states/eV/cell



Record 2
DFT (PBE-GGA) results for a geometry-optimized CdAs2IrSe structure.

a b c (Å): 4.6957 4.6957 5.5583
angles (deg): 90.00 90.00 90.00
With the nearest neighbours (Å) after each atom.
Element x y z (fractional)
As (0.5000, 0.0000, 0.0000)  2 Ir 2.35
Se (0.0000, 0.0000, 0.5000)  2 Ir 2.78
As (0.0000, 0.5000, 0.0000)  2 Ir 2.35
Cd (0.5000, 0.5000, 0.5000)  4 Se 3.32, 8 As 3.64
Ir (0.0000, 0.0000, 0.0000)  4 As 2.35

Values from the calculation:
excess energy over the best structure of this formula in the dataset = 0 meV/atom
raw total energy = -20.50 eV for the cell shown
symmetry = P4/mmm
D(E_F) = 2.73 states/eV/cell



What did the second record say?
DFT (PBE-GGA) results for a geometry-optimized CdAs2IrSe structure.

a b c (Å): 4.6957 4.6957 5.5583
angles (deg): 90.00 90.00 90.00
With the nearest neighbours (Å) after each atom.
Element x y z (fractional)
As (0.5000, 0.0000, 0.0000)  2 Ir 2.35
Se (0.0000, 0.0000, 0.5000)  2 Ir 2.78
As (0.0000, 0.5000, 0.0000)  2 Ir 2.35
Cd (0.5000, 0.5000, 0.5000)  4 Se 3.32, 8 As 3.64
Ir (0.0000, 0.0000, 0.0000)  4 As 2.35

Values from the calculation:
excess energy over the best structure of this formula in the dataset = 0 meV/atom
raw total energy = -20.50 eV for the cell shown
symmetry = P4/mmm
D(E_F) = 2.73 states/eV/cell



- Which value of raw total energy does entry 1 give?
  -31.07 eV for the cell shown



- Which of these has the highest raw total energy?
  CdAs2IrSe